# Nd5Th3As8

Crystalline Nd5Th3As8 at its relaxed geometry (PBE, Alexandria via LeMat-Bulk).

Computed properties:
- Symmetry: R-3m
- Formation enthalpy at 0 K: -1.494 eV/atom
- E_tot: -0.246 Ha/atom
- Crystal system: trigonal
- Spin magnetization: 0.00 μB per formula unit

The structure in extended XYZ format:
```
16
Lattice="4.2677 2.4640 6.9593 -4.2677 2.4640 6.9593 0.0000 -4.9279 6.9593" Properties=species:S:1:pos:R:3 pbc="T T T"
Nd 0.0000 0.0000 0.0000
Nd -2.1339 -1.2320 6.9593
Nd -2.1339 1.2320 13.9186
Nd 0.0000 2.4640 6.9593
Nd 0.0000 0.0000 10.4389
Th -4.2677 0.0000 10.4389
Th -2.1339 1.2320 3.4796
Th 2.1339 1.2320 3.4796
As -2.1465 -1.2393 12.1582
As 0.0000 0.0000 5.1980
As 0.0000 -2.4785 8.7197
As -2.1465 1.2393 8.7197
As 2.1465 -1.2393 12.1581
As 0.0000 2.4785 12.1581
As 0.0000 0.0000 15.6798
As 2.1465 1.2393 8.7197
```

---

# Nd3ThAs4

Crystalline Nd3ThAs4 at its relaxed geometry (PBE, Alexandria via LeMat-Bulk).

Computed properties:
- Symmetry: Cmmm
- Formation enthalpy at 0 K: -1.512 eV/atom
- E_tot: -0.241 Ha/atom
- Polymorph energy (0 for the lowest one): 0.0 meV per atom
- Crystal system: orthorhombic
- Spin magnetization: 0.00 μB per formula unit

The structure in extended XYZ format:
```
8
Lattice="4.2667 -6.0302 0.0000 4.2667 6.0302 0.0000 0.0000 0.0000 4.2709" Properties=species:S:1:pos:R:3 pbc="T T T"
Nd 0.0000 0.0000 0.0000
Nd 2.1333 3.0151 2.1355
Nd 2.1333 -3.0151 2.1355
Th 4.2667 0.0000 0.0000
As 4.2667 2.9925 0.0000
As 2.1553 0.0000 2.1355
As 6.3780 0.0000 2.1355
As 4.2667 -2.9925 0.0000
```

---

# NdTm2ThAs4

Crystalline NdTm2ThAs4 at its relaxed geometry (PBE, Alexandria via LeMat-Bulk).

Computed properties:
- Symmetry: P2/m
- Formation enthalpy at 0 K: -1.490 eV/atom
- E_tot: -0.237 Ha/atom
- Crystal system: monoclinic
- Spin magnetization: 0.00 μB per formula unit

The structure in extended XYZ format:
```
8
Lattice="7.1845 0.0000 0.0000 0.0000 4.1731 0.0000 -2.4120 0.0000 6.8077" Properties=species:S:1:pos:R:3 pbc="T T T"
Nd 0.0000 0.0000 0.0000
Tm 2.3863 0.0000 3.4038
Tm 3.5922 2.0866 0.0000
Th -1.2060 2.0866 3.4038
As 0.0653 0.0000 5.1251
As 1.2654 2.0866 1.7410
As 4.7072 0.0000 1.6826
As 3.5071 2.0866 5.0667
```

---

# Nd3Th2UAs6

Crystalline Nd3Th2UAs6 at its relaxed geometry (PBE, Alexandria via LeMat-Bulk).

Computed properties:
- Symmetry: C2/m
- Formation enthalpy at 0 K: -1.349 eV/atom
- E_tot: -0.259 Ha/atom
- Crystal system: monoclinic
- Spin magnetization: 2.65 μB per formula unit

The structure in extended XYZ format:
```
12
Lattice="9.2473 -2.1142 0.0000 9.2473 2.1142 0.0000 -1.9925 0.0000 8.2566" Properties=species:S:1:pos:R:3 pbc="T T T"
Nd 0.0000 0.0000 0.0000
Nd 4.8120 0.0000 5.5097
Nd 11.6900 0.0000 2.7469
Th 5.8580 0.0000 1.3938
Th 10.6440 0.0000 6.8628
U -0.9963 0.0000 4.1283
As 1.8546 0.0000 4.8051
As 2.9425 0.0000 0.6705
As 7.7621 0.0000 6.1120
As 8.7400 0.0000 2.1446
As 13.5595 0.0000 7.5861
As 14.6474 0.0000 3.4515
```